4
Lattice="2.959 0.000 0.000 0.000 4.054 0.000 -0.369 0.000 5.494" Properties=species:S:1:pos:R:3 comment="Nb2AlOs | Alexandria | PBE | relaxed" dos_at_fermi_per_ev_cell=2.83 dft_energy_ev_per_atom=-9.0175 e_form_kcal_per_mol_atoms=-5.524 pbc="T T T"
Nb -0.004 0.000 1.422
Nb 2.594 0.000 4.073
Al 1.479 2.027 0.000
Os 1.295 2.027 2.747

=====

11
Lattice="2.865 1.654 5.596 -2.865 1.654 5.596 0.000 -3.308 5.596" Properties=species:S:1:pos:R:3 comment="K2LiP2O6 | Alexandria | PBE | relaxed" dos_at_fermi_per_ev_cell=1.17 dft_energy_ev_per_atom=-6.1266 e_form_raw_ev_per_atom=-2.06 pbc="T T T"
K 0.000 0.000 3.688
K 0.000 0.000 13.099
Li 0.000 0.000 0.000
P 0.000 0.000 7.188
P 0.000 0.000 9.599
O 0.000 -1.499 6.915
O -1.298 0.749 6.915
O -1.298 -0.749 9.872
O 1.298 0.749 6.915
O 1.298 -0.749 9.872
O 0.000 1.499 9.872